Compound: K2TlBr3
Source: Alexandria via LeMat-Bulk
Functional: PBE
Structure: optimized geometry

Cell and atoms, written as CIF:
```
data_K2TlBr3
_chemical_formula_sum 'K2 Tl1 Br3'
_cell_length_a 8.2232
_cell_length_b 8.2232
_cell_length_c 8.2232
_cell_angle_alpha 146.49
_cell_angle_beta 131.93
_cell_angle_gamma 59.86
_symmetry_space_group_name_H-M 'P 1'
_symmetry_Int_Tables_number 1
loop_
_symmetry_equiv_pos_as_xyz
'x,y,z'
loop_
_atom_site_label
_atom_site_type_symbol
_atom_site_fract_x
_atom_site_fract_y
_atom_site_fract_z
K1 K 0.1656 0.1656 0.0000
K2 K 0.8344 0.8344 0.0000
Tl1 Tl 0.5000 0.5000 0.0000
Br1 Br 0.0000 0.5000 0.5000
Br2 Br 0.3305 0.8305 0.5000
Br3 Br 0.6695 0.1695 0.5000
```

Calculated values
Distance to the lowest polymorph of the same formula = 0 meV per atom
ΔE_f (raw) = -1.46 eV per atom
Symmetry = Immm, No. 71
Crystal system = orthorhombic
D(E_F) = 0.000 states/eV per atom
Electronic total energy = -18.32 eV/f.u.